[1]
Entry from Alexandria: a relaxed structure of Li2ScW (PBE).

For the energy above the lowest structure with this stoichiometry, the calculation gives 4.23 kcal/mol of atoms. The value obtained for the formation enthalpy at 0 K is 10.56 kcal/mol of atoms.

Unit cell a=2.7932 b=4.8223 c=5.3158 alpha=90.00 beta=90.00 gamma=90.00
Atoms (fractional coordinates):
Li  0.0000  0.0000  0.0000
Li  0.5000  0.5000  0.0000
W  0.0000  0.5000  0.5000
Sc  0.5000  0.0000  0.5000

[2]
Entry from Alexandria: a relaxed structure of Mg2ZnRh (PBE).

The value obtained for the formation enthalpy at 0 K is -8.61 kcal/mol of atoms.

Unit cell a=5.3101 b=4.4711 c=5.5410 alpha=90.00 beta=97.64 gamma=90.00
Atoms (fractional coordinates):
Rh  0.1755  0.2500  0.2010
Mg  0.1047  0.2500  0.6879
Mg  0.8953  0.7500  0.3121
Mg  0.3270  0.7500  0.9969
Zn  0.3874  0.7500  0.4998
Zn  0.6126  0.2500  0.5002
Mg  0.6730  0.2500  0.0031
Rh  0.8245  0.7500  0.7990

[3]
Entry from Alexandria: a relaxed structure of ZnCdTeP (PBE).

For the energy above the lowest structure with this stoichiometry, the calculation gives 0.33 kcal/mol of atoms. Its energy relative to the elements, uncorrected is -0.096 eV per atom.

Unit cell a=4.1997 b=4.1997 c=7.2117 alpha=90.00 beta=90.00 gamma=120.00
Atoms (fractional coordinates):
P  0.0000  0.0000  0.7026
Te  0.6667  0.3333  0.1809
Cd  0.6667  0.3333  0.5846
Zn  0.0000  0.0000  0.0243

[4]
Entry from Alexandria: a relaxed structure of InCoHIr2 (PBE).

The calculation puts the total DFT energy (no corrections) at -30.38 eV per cell.

Unit cell a=4.0076 b=4.0076 c=3.8483 alpha=90.00 beta=90.00 gamma=90.00
Atoms (fractional coordinates):
Ir  0.0000  0.5000  0.0000
Co  0.0000  0.0000  0.5000
H  0.0000  0.0000  0.0000
Ir  0.5000  0.0000  0.0000
In  0.5000  0.5000  0.5000